Entry from Alexandria: crystalline RbMg2ScCl8 at its relaxed geometry (PBE).

The value obtained for the raw formation energy is -1.904 eV per atom.

```
data_RbMg2ScCl8
_cell_length_a 6.4424
_cell_length_b 6.4581
_cell_length_c 8.9832
_cell_angle_alpha 76.21
_cell_angle_beta 76.85
_cell_angle_gamma 75.26
_symmetry_space_group_name_H-M 'P 1'
_symmetry_Int_Tables_number 1
_symmetry_space_group_name_Hall 'P 1'
loop_
_atom_site_label
_atom_site_fract_x
_atom_site_fract_y
_atom_site_fract_z
Rb1 0.0000 0.0000 0.0000
Mg1 0.4515 0.4476 0.2170
Mg2 0.5485 0.5524 0.7830
Sc1 0.0000 0.0000 0.5000
Cl1 0.1919 0.7376 0.7104
Cl2 0.2476 0.7935 0.2965
Cl3 0.2613 0.2395 0.4546
Cl4 0.3484 0.3243 0.0175
Cl5 0.6516 0.6757 0.9825
Cl6 0.7387 0.7605 0.5454
Cl7 0.7524 0.2065 0.7035
Cl8 0.8081 0.2624 0.2896
```

Entry from Alexandria: crystalline Mg2TlPb at its relaxed geometry (PBE).

The calculation puts the energy above the most stable polymorph in this dataset at 0.014 eV/atom. Its formation energy is -0.04 eV per atom.

```
data_Mg2TlPb
_cell_length_a 10.0203
_cell_length_b 3.5578
_cell_length_c 5.8930
_cell_angle_alpha 90.00
_cell_angle_beta 99.58
_cell_angle_gamma 90.00
_symmetry_space_group_name_H-M 'P 1'
_symmetry_Int_Tables_number 1
_symmetry_space_group_name_Hall 'P 1'
loop_
_atom_site_label
_atom_site_fract_x
_atom_site_fract_y
_atom_site_fract_z
Mg1 0.2495 0.0000 0.2423
Mg2 0.2505 0.5000 0.7577
Mg3 0.7495 0.5000 0.2423
Mg4 0.7505 0.0000 0.7577
Tl1 0.0000 0.5000 0.0000
Tl2 0.5000 0.0000 0.0000
Pb1 0.0000 0.0000 0.5000
Pb2 0.5000 0.5000 0.5000
```

Entry from Alexandria: crystalline SrCa2LaTc at its relaxed geometry (PBE).

Its formation energy is 0.19 eV per atom.

```
data_SrCa2LaTc
_cell_length_a 5.9522
_cell_length_b 5.9522
_cell_length_c 5.1974
_cell_angle_alpha 90.00
_cell_angle_beta 90.00
_cell_angle_gamma 90.00
_symmetry_space_group_name_H-M 'P 1'
_symmetry_Int_Tables_number 1
_symmetry_space_group_name_Hall 'P 1'
loop_
_atom_site_label
_atom_site_fract_x
_atom_site_fract_y
_atom_site_fract_z
Sr1 0.0000 0.0000 0.0000
Ca1 0.0000 0.5000 0.5000
Ca2 0.5000 0.0000 0.5000
La1 0.5000 0.5000 0.0000
Tc1 0.5000 0.5000 0.5000
```